A PBEsol-optimized structure of Li2PBr. Source: Alexandria, functional meta-GGA SCAN.

It has space group I-42d (No. 122), with a = 6.963 Å, b = 6.963 Å, c = 5.758 Å, α = 90.00°, β = 90.00° and γ = 90.00°. The asymmetric unit holds Li at (0.247, 0.750, 0.125), P at (0.000, 0.000, 0.000) and Br at (0.000, 0.000, 0.500).

The uncorrected formation energy comes out at -0.497 eV/atom.

***

A PBEsol-optimized structure of Na2Sb2Ir. Source: Alexandria, functional meta-GGA SCAN.

It has space group P4/mbm (No. 127), with a = 6.757 Å, b = 6.757 Å, c = 5.185 Å, α = 90.00°, β = 90.00° and γ = 90.00°. The asymmetric unit holds Na at (0.177, 0.323, 0.000), Sb at (0.147, 0.647, 0.500) and Ir at (0.000, 0.000, 0.500).

The uncorrected formation energy comes out at -0.377 eV/atom.

***

A PBEsol-optimized structure of MgNbFeSb2. Source: Alexandria, functional meta-GGA SCAN.

It has space group P4/mmm (No. 123), with a = 5.221 Å, b = 5.221 Å, c = 5.232 Å, α = 90.00°, β = 90.00° and γ = 90.00°. The asymmetric unit holds Mg at (0.000, 0.000, 0.000), Nb at (0.000, 0.000, 0.500), Fe at (0.500, 0.500, 0.000) and Sb at (0.000, 0.500, 0.500).

The uncorrected formation energy comes out at 0.931 eV/atom.

***

A PBEsol-optimized structure of CaBeNi3. Source: Alexandria, functional meta-GGA SCAN.

It has space group Pm-3m (No. 221), with a = 4.026 Å, b = 4.026 Å, c = 4.026 Å, α = 90.00°, β = 90.00° and γ = 90.00°. The asymmetric unit holds Ca at (0.000, 0.000, 0.000), Be at (0.500, 0.500, 0.500) and Ni at (0.000, 0.500, 0.500).

The calculation puts the formation energy from the elements at 0.00 eV/atom.

***

A PBEsol-optimized structure of MgPSe2. Source: Alexandria, functional meta-GGA SCAN.

It has space group P4/mmm (No. 123), with a = 3.309 Å, b = 3.309 Å, c = 6.609 Å, α = 90.00°, β = 90.00° and γ = 90.00°. The asymmetric unit holds Mg at (0.000, 0.000, 0.000), P at (0.000, 0.000, 0.500) and Se at (0.500, 0.500, 0.253).

The uncorrected formation energy comes out at 0.119 eV/atom.

***

A PBEsol-optimized structure of Zn3Cr12Ga2Se24. Source: Alexandria, functional meta-GGA SCAN.

It has space group I-4m2 (No. 119), with a = 7.347 Å, b = 7.347 Å, c = 31.153 Å, α = 90.00°, β = 90.00° and γ = 90.00°. The asymmetric unit holds Zn at (0.000, 0.000, 0.000), Zn at (0.000, 0.500, 0.583), Cr at (0.000, 0.236, 0.792), Cr at (0.000, 0.247, 0.127), Cr at (0.000, 0.250, 0.458), Ga at (0.000, 0.000, 0.331), Se at (0.000, 0.229, 0.872), Se at (0.000, 0.230, 0.538), Se at (0.000, 0.237, 0.206), Se at (0.000, 0.270, 0.046), Se at (0.000, 0.270, 0.378) and Se at (0.000, 0.274, 0.712).

The uncorrected formation energy comes out at -0.864 eV/atom.

***

A PBEsol-optimized structure of Li2AsF. Source: Alexandria, functional meta-GGA SCAN.

It has space group I-42d (No. 122), with a = 5.628 Å, b = 5.628 Å, c = 7.240 Å, α = 90.00°, β = 90.00° and γ = 90.00°. The asymmetric unit holds Li at (0.118, 0.250, 0.125), As at (0.000, 0.000, 0.500) and F at (0.000, 0.000, 0.000).

The uncorrected formation energy comes out at -1.518 eV/atom.

***

A PBEsol-optimized structure of MnGePd. Source: Alexandria, functional meta-GGA SCAN.

It has space group P-62m (No. 189), with a = 6.9884 Å, b = 6.9884 Å, c = 3.0171 Å, α = 90.00°, β = 90.00° and γ = 120.00°. The asymmetric unit holds Mn at (0.0000, 0.6228, 0.0000), Ge at (0.0000, 0.0000, 0.0000), Ge at (0.3333, 0.6667, 0.5000) and Pd at (0.0000, 0.2923, 0.5000).

The calculation puts the formation energy from the elements at -0.52 eV/atom.